# 1
DFT (PBE-GGA) results for a relaxed Tb4HoS5 crystal.

Properties
ρ ... 7.50 Mg/m³
Uncorrected energy ... -0.2342 Ha/atom
ΔE_f (raw) ... -2.00 eV/atom
M_tot ... 0.000 μB per formula unit

Cell and atoms, written as POSCAR:
```
Tb4HoS5
1.0
-2.251 1.098 3.018
-4.354 0.399 -3.392
1.075 -10.130 1.940
Tb Ho S
4 1 5
Direct
0.400 0.400 0.800
0.800 0.800 0.601
0.200 0.200 0.399
0.600 0.600 0.200
0.000 0.000 0.000
0.599 0.099 0.197
0.800 0.300 0.600
0.200 0.700 0.400
0.000 0.500 0.000
0.401 0.901 0.803
```

# 2
DFT (PBE-GGA) results for a relaxed Sr2Bi3Pd crystal.

Properties
ρ ... 7.45 Mg/m³
Formation energy ... -0.59 eV per atom
Uncorrected energy ... -0.1455 Ha/atom
M_tot ... 0.000 μB per formula unit

Cell and atoms, written as POSCAR:
```
Sr2Bi3Pd
1.0
4.551 0.000 0.000
0.000 4.949 0.000
0.000 0.000 8.990
Sr Bi Pd
2 3 1
Direct
0.000 0.500 0.032
0.000 0.000 0.493
0.500 0.000 0.838
0.500 0.000 0.197
0.500 0.500 0.622
0.500 0.500 0.318
```

# 3
DFT (PBE-GGA) results for a relaxed Ba2ZnN2 crystal.

Properties
ρ ... 5.26 Mg/m³
Uncorrected energy ... -0.1755 Ha/atom
ΔE_f (raw) ... -0.42 eV/atom
M_tot ... 0.000 μB per formula unit

Cell and atoms, written as POSCAR:
```
Ba2ZnN2
1.0
7.176 0.000 0.000
4.694 5.428 0.000
-5.935 -2.714 2.984
Ba Zn N
2 1 2
Direct
0.655 0.655 0.000
0.345 0.345 0.000
0.000 0.000 0.000
0.858 0.858 0.000
0.142 0.142 0.000
```

# 4
DFT (PBE-GGA) results for a relaxed AlV2Cr crystal.

Properties
ρ ... 5.60 Mg/m³
Formation energy ... -0.13 eV per atom
Uncorrected energy ... -0.2952 Ha/atom
M_tot ... 0.001 μB per formula unit

Cell and atoms, written as POSCAR:
```
AlV2Cr
1.0
3.020 0.000 0.000
0.000 3.020 0.000
0.000 0.000 5.878
Cr Al V
1 1 2
Direct
0.500 0.500 0.000
0.500 0.500 0.500
0.000 0.000 0.775
0.000 0.000 0.225
```

# 5
DFT (PBE-GGA) results for a relaxed Sr3ReRh crystal.

Properties
ρ ... 5.12 Mg/m³
Formation energy ... 0.91 eV per atom
Uncorrected energy ... -0.1491 Ha/atom
Offset from the most stable computed form ... 0.000 eV per atom
M_tot ... 3.762 μB per formula unit

Cell and atoms, written as POSCAR:
```
Sr3ReRh
1.0
-5.421 1.530 -0.208
-1.004 -2.914 4.719
1.173 4.576 3.075
Re Rh Sr
1 1 3
Direct
0.500 0.500 0.500
0.000 0.000 0.000
0.000 0.500 0.000
0.000 0.000 0.500
0.500 0.000 0.000
```

# 6
DFT (PBE-GGA) results for a relaxed TbPm4Sm5 crystal.

Properties
ρ ... 7.01 Mg/m³
Formation energy ... 0.21 eV per atom
Uncorrected energy ... -0.1658 Ha/atom
Offset from the most stable computed form ... 0.000 eV per atom
M_tot ... 0.000 μB per formula unit

Cell and atoms, written as POSCAR:
```
TbPm4Sm5
1.0
3.537 -0.002 -0.717
-0.370 10.729 -1.798
0.066 -0.538 9.381
Tb Pm Sm
1 4 5
Direct
0.500 0.000 0.000
0.676 0.220 0.354
0.026 0.261 0.053
0.324 0.780 0.646
0.974 0.739 0.947
0.169 0.528 0.338
0.158 0.906 0.319
0.842 0.094 0.681
0.500 0.500 0.000
0.831 0.472 0.662
```

# 7
DFT (PBE-GGA) results for a relaxed DyLuAgPb crystal.

Properties
ρ ... 10.67 Mg/m³
Formation energy ... -0.36 eV per atom
Uncorrected energy ... -0.1571 Ha/atom
M_tot ... 0.474 μB per formula unit

Cell and atoms, written as POSCAR:
```
DyLuAgPb
1.0
-4.719 -0.101 -2.268
-0.413 -0.868 -5.148
-1.972 -4.528 -1.742
Pb Lu Ag Dy
1 1 1 1
Direct
0.750 0.750 0.750
0.500 0.500 0.500
0.250 0.250 0.250
0.000 0.000 0.000
```

# 8
DFT (PBE-GGA) results for a relaxed Ta2GeRu3 crystal.

Properties
ρ ... 13.23 Mg/m³
Formation energy ... -0.31 eV per atom
Uncorrected energy ... -0.3551 Ha/atom
M_tot ... 0.000 μB per formula unit

Cell and atoms, written as POSCAR:
```
Ta2GeRu3
1.0
3.167 0.000 0.000
0.000 3.167 0.000
0.000 0.000 9.233
Ta Ge Ru
2 1 3
Direct
0.500 0.500 0.831
0.500 0.500 0.169
0.500 0.500 0.500
0.000 0.000 0.000
0.000 0.000 0.659
0.000 0.000 0.341
```